Material: TaGePd
Method: DFT, GGA-PBE
State: optimized geometry

The mass density comes out at 12.43 g/cm³. The energy of formation from the pure elements comes out at -0.30 eV per atom.

The space group is P-6m2 (No. 187) and the conventional cell measures 4.3678, 4.3678 and 2.9105 Å, with angles of 90.00, 90.00 and 120.00 degrees. The distinct sites, in fractional coordinates, are Ta at (0.0000, 0.0000, 0.0000), Ge at (0.6667, 0.3333, 0.5000) and Pd at (0.3333, 0.6667, 0.5000).